Run i
A relaxed Li8MgCd5 crystal. Source: Alexandria via LeMat-Bulk, functional PBE-GGA.

Properties
DOS(E_F) ... 4.24 states/eV per cell
Theoretical density ... 3.85 g cm⁻³

Unit cell a=7.112 b=7.112 c=7.112 alpha=110.77 beta=106.90 gamma=110.77
Element x y z (fractional)
Cd 0.040 0.342 0.128
Cd 0.302 0.088 0.960
Cd 0.872 0.912 0.214
Cd 0.786 0.658 0.698
Cd 0.500 0.000 0.500
Li 0.077 0.739 0.478
Li 0.335 0.263 0.405
Li 0.595 0.929 0.858
Li 0.522 0.599 0.261
Li 0.739 0.261 0.338
Li 0.928 0.071 0.665
Li 0.142 0.737 0.072
Li 0.662 0.401 0.923
Mg 0.250 0.500 0.750

=====

Run ii
A relaxed Li8MgCd5 crystal. Source: Alexandria via LeMat-Bulk, functional PBE-GGA.

Properties
DOS(E_F) ... 4.37 states/eV per cell
Theoretical density ... 3.84 g cm⁻³

Unit cell a=7.118 b=7.118 c=7.118 alpha=109.76 beta=109.76 gamma=108.89
Element x y z (fractional)
Li 0.110 0.016 0.778
Li 0.984 0.762 0.095
Li 0.788 0.369 0.200
Li 0.238 0.333 0.222
Li 0.412 0.212 0.581
Li 0.631 0.831 0.419
Li 0.169 0.588 0.800
Li 0.667 0.890 0.905
Cd 0.739 0.560 0.587
Cd 0.440 0.027 0.179
Cd 0.973 0.152 0.413
Cd 0.500 0.500 0.000
Cd 0.848 0.261 0.821
Mg 0.250 0.750 0.500

=====

Structures ranked by computed energy, the most stable listed first: run i, run ii.

=====

Run i
A relaxed LiMg2Cd4 crystal. Source: Alexandria via LeMat-Bulk, functional PBE-GGA.

Properties
DOS(E_F) ... 2.51 states/eV per cell
Theoretical density ... 4.65 g cm⁻³

Unit cell a=5.084 b=5.767 c=6.799 alpha=115.09 beta=90.00 gamma=90.00
Element x y z (fractional)
Cd 0.000 0.262 0.524
Cd 0.500 0.383 0.767
Cd 0.500 0.617 0.233
Cd 0.000 0.738 0.476
Mg 0.500 0.870 0.741
Mg 0.500 0.130 0.259
Li 0.000 0.500 0.000

=====

Run ii
A relaxed LiMg2Cd4 crystal. Source: Alexandria via LeMat-Bulk, functional PBE-GGA.

Properties
DOS(E_F) ... 2.60 states/eV per cell
Theoretical density ... 5.50 g cm⁻³

Unit cell a=4.693 b=4.693 c=7.682 alpha=107.79 beta=107.79 gamma=90.00
Element x y z (fractional)
Li 0.000 0.000 0.000
Mg 0.248 0.248 0.495
Mg 0.752 0.752 0.505
Cd 0.608 0.108 0.216
Cd 0.392 0.892 0.784
Cd 0.108 0.608 0.216
Cd 0.892 0.392 0.784

=====

Structures ranked by computed energy, the most stable listed first: run ii, run i.

=====

Run i
A relaxed Li2MgCd6 crystal. Source: Alexandria via LeMat-Bulk, functional PBE-GGA.

Properties
DOS(E_F) ... 6.50 states/eV per cell
Theoretical density ... 6.30 g cm⁻³

Unit cell a=5.243 b=8.687 c=8.688 alpha=74.35 beta=82.41 gamma=82.41
Element x y z (fractional)
Li 0.411 0.540 0.792
Li 0.589 0.460 0.208
Li 0.089 0.208 0.460
Li 0.911 0.792 0.540
Cd 0.521 0.322 0.564
Cd 0.979 0.436 0.678
Cd 0.309 0.752 0.019
Cd 0.691 0.248 0.981
Cd 0.346 0.896 0.650
Cd 0.191 0.981 0.248
Cd 0.654 0.104 0.350
Cd 0.154 0.350 0.104
Cd 0.021 0.564 0.322
Cd 0.846 0.650 0.896
Cd 0.809 0.019 0.752
Cd 0.479 0.678 0.436
Mg 0.750 0.878 0.122
Mg 0.250 0.122 0.878

=====

Run ii
A relaxed Li2MgCd6 crystal. Source: Alexandria via LeMat-Bulk, functional PBE-GGA.

Properties
DOS(E_F) ... 2.68 states/eV per cell
Theoretical density ... 5.52 g cm⁻³

Unit cell a=5.997 b=6.432 c=6.432 alpha=59.85 beta=89.69 gamma=89.69
Element x y z (fractional)
Li 0.159 0.334 0.334
Li 0.841 0.666 0.666
Cd 0.324 0.817 0.817
Cd 0.678 0.182 0.635
Cd 0.678 0.635 0.182
Cd 0.322 0.365 0.818
Cd 0.322 0.818 0.365
Cd 0.676 0.183 0.183
Mg 0.000 0.000 0.000

=====

Structures ranked by computed energy, the most stable listed first: run i, run ii.

=====

Run i
A relaxed Li3MgCd crystal. Source: Alexandria via LeMat-Bulk, functional PBE-GGA.

Properties
DOS(E_F) ... 3.80 states/eV per cell
Theoretical density ... 2.66 g cm⁻³

Unit cell a=4.440 b=5.164 c=9.502 alpha=88.45 beta=90.00 gamma=115.46
Element x y z (fractional)
Cd 0.650 0.299 0.051
Cd 0.350 0.701 0.949
Li 0.058 0.115 0.859
Li 0.242 0.483 0.237
Li 0.758 0.517 0.763
Li 0.942 0.885 0.141
Li 0.152 0.304 0.547
Li 0.848 0.696 0.453
Mg 0.546 0.092 0.346
Mg 0.454 0.908 0.654

=====

Run ii
A relaxed Li3MgCd crystal. Source: Alexandria via LeMat-Bulk, functional PBE-GGA.

Properties
DOS(E_F) ... 2.23 states/eV per cell
Theoretical density ... 2.10 g cm⁻³

Unit cell a=4.995 b=4.995 c=4.995 alpha=90.00 beta=90.00 gamma=90.00
Element x y z (fractional)
Mg 0.500 0.500 0.500
Li 0.000 0.500 0.000
Li 0.000 0.000 0.500
Li 0.500 0.000 0.000
Cd 0.000 0.000 0.000

=====

Structures ranked by computed energy, the most stable listed first: run i, run ii.